Record 1
VASP calculation (PBE-GGA) on crystalline Al2BH at its relaxed geometry.

Results
Polymorph energy (0 for the lowest one)   0.0 meV/atom

abc: 3.461 3.461 5.561
angles: 71.87 71.87 60.00
Positions (direct):
B: 0.500 0.500 0.500
Al: 0.889 0.889 0.332
H: 0.000 0.000 0.000
Al: 0.111 0.111 0.668

---

Record 2
VASP calculation (PBE-GGA) on crystalline HgAsBr5 at its relaxed geometry.

Results
Formation energy (no corrections)   -0.362 eV/atom

abc: 7.098 9.058 7.335
angles: 128.13 118.94 90.00
Positions (direct):
Br: 0.511 0.799 0.000
Br: 0.753 0.792 0.584
Hg: 0.231 0.000 0.000
Br: 0.844 0.500 0.000
Br: 0.511 0.201 0.000
Br: 0.169 0.208 0.416
As: 0.513 0.500 0.000

---

Record 3
VASP calculation (PBE-GGA) on crystalline HoOsW at its relaxed geometry.

Results
Energy of formation   307 meV per atom

abc: 5.173 6.448 5.173
angles: 60.25 103.71 119.75
Positions (direct):
W: 0.783 0.000 0.217
Ho: 0.783 0.500 0.217
Os: 0.283 0.000 0.217
W: 0.283 0.000 0.717
Ho: 0.283 0.500 0.717
Os: 0.783 0.000 0.717

---

Record 4
VASP calculation (PBE-GGA) on crystalline GdAl2Hg at its relaxed geometry.

Results
Energy of formation   -323 meV per atom

abc: 4.331 4.432 4.432
angles: 90.00 90.00 90.00
Positions (direct):
Gd: 0.500 0.000 0.000
Al: 0.000 0.000 0.500
Hg: 0.500 0.500 0.500
Al: 0.000 0.500 0.000

---

Record 5
VASP calculation (PBE-GGA) on crystalline ScTaPS2 at its relaxed geometry.

Results
Formation energy (no corrections)   0.412 eV/atom
Polymorph energy (0 for the lowest one)   832.8 meV/atom

abc: 4.710 4.710 4.908
angles: 90.00 90.00 90.00
Positions (direct):
S: 0.500 0.000 0.000
P: 0.000 0.000 0.500
Sc: 0.000 0.000 0.000
Ta: 0.500 0.500 0.500
S: 0.000 0.500 0.000

---

Record 6
VASP calculation (PBE-GGA) on crystalline MgNiBi2Mo at its relaxed geometry.

Results
Energy of formation   754 meV per atom

abc: 5.113 4.823 5.113
angles: 90.00 90.00 90.00
Positions (direct):
Ni: 0.000 0.000 0.000
Bi: 0.500 0.000 0.000
Mo: 0.000 0.500 0.000
Mg: 0.500 0.500 0.500
Bi: 0.000 0.000 0.500

---

Record 7
VASP calculation (PBE-GGA) on crystalline K3Ta2O7 at its relaxed geometry.

Results
Formation energy (no corrections)   -2.350 eV/atom
Polymorph energy (0 for the lowest one)   30.0 meV/atom

abc: 4.015 4.036 11.818
angles: 99.83 90.00 90.00
Positions (direct):
Ta: 0.000 0.091 0.183
O: 0.000 0.828 0.656
O: 0.000 0.587 0.174
O: 0.000 0.000 0.000
O: 0.500 0.913 0.827
Ta: 0.000 0.909 0.817
K: 0.500 0.682 0.363
K: 0.500 0.318 0.637
O: 0.000 0.413 0.826
O: 0.000 0.172 0.344
O: 0.500 0.087 0.173
K: 0.500 0.500 0.000

---

Record 8
VASP calculation (PBE-GGA) on crystalline LaDyYTm3 at its relaxed geometry.

Results
Energy of formation   36 meV per atom

abc: 5.035 7.959 10.063
angles: 90.00 90.00 108.44
Positions (direct):
Y: 0.170 0.339 0.250
La: 0.501 0.003 0.750
Dy: 0.000 0.000 0.500
La: 0.499 0.997 0.250
Y: 0.830 0.661 0.750
Tm: 0.332 0.663 0.000
Tm: 0.332 0.663 0.500
Tm: 0.169 0.338 0.750
Tm: 0.831 0.662 0.250
Tm: 0.668 0.337 0.500
Dy: 0.000 0.000 0.000
Tm: 0.668 0.337 0.000

---

Copy entry 4 word for word.
VASP calculation (PBE-GGA) on crystalline GdAl2Hg at its relaxed geometry.

Results
Energy of formation   -323 meV per atom

abc: 4.331 4.432 4.432
angles: 90.00 90.00 90.00
Positions (direct):
Gd: 0.500 0.000 0.000
Al: 0.000 0.000 0.500
Hg: 0.500 0.500 0.500
Al: 0.000 0.500 0.000